! CaTc2Br (PBE, relaxed); values from VASP
&SYSTEM
  ibrav = 0, nat = 4, ntyp = 3
/
ATOMIC_SPECIES
Ca 40.08 Ca.upf
Tc 98.00 Tc.upf
Br 79.90 Br.upf
CELL_PARAMETERS angstrom
3.421 0.000 0.000
0.000 3.421 0.000
0.000 0.000 8.217
ATOMIC_POSITIONS angstrom
Ca 0.000 0.000 0.000
Tc 0.000 0.000 3.031
Tc 1.710 1.710 2.453
Br 1.710 1.710 6.567
! - Symmetry: P4mm (99)
! - Distance to the lowest polymorph of the same formula: 0.106 eV/atom
! - D(E_F): 2.5 states/eV/cell
! - Calculated volume: 96.14 Å³/cell



! Ba2FeSiP (PBE, relaxed); values from VASP
&SYSTEM
  ibrav = 0, nat = 5, ntyp = 4
/
ATOMIC_SPECIES
Ba 137.33 Ba.upf
Fe 55.84 Fe.upf
Si 28.09 Si.upf
P 30.97 P.upf
CELL_PARAMETERS angstrom
6.181 0.000 0.000
0.000 6.181 0.000
0.000 0.000 4.527
ATOMIC_POSITIONS angstrom
Ba 0.000 3.090 0.000
Ba 3.090 0.000 0.000
Fe 0.000 0.000 2.263
Si 3.090 3.090 2.263
P 3.090 3.090 0.000
! - Symmetry: P4/mmm (123)
! - Total energy: -4.305 eV/atom
! - D(E_F): 6.6 states/eV/cell
! - Calculated volume: 172.93 Å³/cell



! Dy4Ir2Au (PBE, relaxed); values from VASP
&SYSTEM
  ibrav = 0, nat = 14, ntyp = 3
/
ATOMIC_SPECIES
Dy 162.50 Dy.upf
Ir 192.22 Ir.upf
Au 196.97 Au.upf
CELL_PARAMETERS angstrom
0.000 6.188 4.329
6.174 0.000 4.329
6.174 6.188 0.000
ATOMIC_POSITIONS angstrom
Dy 6.873 1.524 4.329
Dy 3.786 1.570 2.164
Dy 7.703 5.496 3.116
Dy 2.388 4.618 2.164
Dy 4.645 6.880 3.116
Dy 4.616 3.786 5.280
Dy 7.732 8.590 5.280
Dy 5.475 10.852 4.329
Ir 5.435 3.841 2.640
Ir 10.000 6.935 4.805
Ir 6.913 8.535 2.640
Ir 2.348 5.441 4.805
Au 6.174 6.188 5.882
Au 9.261 9.282 8.046
! - Symmetry: Fdd2 (43)
! - D(E_F): 9.0 states/eV/cell
! - ΔH_f (0 K): -0.78 eV per atom
! - Calculated volume: 330.78 Å³/cell



! Ho3TaPd12 (PBE, relaxed); values from VASP
&SYSTEM
  ibrav = 0, nat = 16, ntyp = 3
/
ATOMIC_SPECIES
Ho 164.93 Ho.upf
Ta 180.95 Ta.upf
Pd 106.42 Pd.upf
CELL_PARAMETERS angstrom
4.074 0.000 0.000
0.000 4.074 0.000
0.000 0.000 16.299
ATOMIC_POSITIONS angstrom
Ho 0.000 0.000 0.000
Ho 0.000 0.000 4.077
Ho 0.000 0.000 12.222
Ta 0.000 0.000 8.149
Pd 0.000 2.037 2.083
Pd 0.000 2.037 6.284
Pd 0.000 2.037 10.015
Pd 0.000 2.037 14.216
Pd 2.037 0.000 2.083
Pd 2.037 0.000 6.284
Pd 2.037 0.000 10.015
Pd 2.037 0.000 14.216
Pd 2.037 2.037 0.000
Pd 2.037 2.037 4.192
Pd 2.037 2.037 8.149
Pd 2.037 2.037 12.107
! - Symmetry: P4/mmm (123)
! - D(E_F): 4.1 states/eV/cell
! - ΔH_f (0 K): -0.81 eV per atom
! - Calculated volume: 270.50 Å³/cell



! PmPrOs (PBE, relaxed); values from VASP
&SYSTEM
  ibrav = 0, nat = 3, ntyp = 3
/
ATOMIC_SPECIES
Pm 145.00 Pm.upf
Pr 140.91 Pr.upf
Os 190.23 Os.upf
CELL_PARAMETERS angstrom
4.240 0.000 0.000
-2.120 3.672 0.000
0.000 0.000 6.093
ATOMIC_POSITIONS angstrom
Pm 0.000 0.000 0.000
Pr 0.000 2.448 3.228
Os 2.120 1.224 4.695
! - Symmetry: P3m1 (156)
! - Distance to the lowest polymorph of the same formula: 0.144 eV/atom
! - D(E_F): 1.1 states/eV/cell
! - ΔH_f (0 K): 0.10 eV per atom
! - Calculated volume: 94.85 Å³/cell



! Ce3Nd3HoTe8 (PBE, relaxed); values from VASP
&SYSTEM
  ibrav = 0, nat = 15, ntyp = 4
/
ATOMIC_SPECIES
Ce 140.12 Ce.upf
Nd 144.24 Nd.upf
Ho 164.93 Ho.upf
Te 127.60 Te.upf
CELL_PARAMETERS angstrom
7.738 -4.476 0.000
7.738 4.476 0.000
-5.149 0.000 7.335
ATOMIC_POSITIONS angstrom
Ce 0.000 0.000 0.000
Ce 1.295 2.238 3.667
Ce 1.295 -2.238 3.667
Nd 3.869 2.238 0.000
Nd 3.869 -2.238 0.000
Nd 5.164 0.000 3.667
Ho 7.738 0.000 0.000
Te 2.579 0.000 1.835
Te 0.028 0.000 5.515
Te 6.463 2.222 1.819
Te 3.865 2.222 5.515
Te 6.463 -2.222 1.819
Te 3.865 -2.222 5.515
Te 10.299 0.000 1.820
Te 7.749 0.000 5.500
! - Symmetry: C2/m (12)
! - Total energy: -5.537 eV/atom
! - D(E_F): 25.4 states/eV/cell
! - Calculated volume: 508.10 Å³/cell



! Ho6MgTe8 (PBE, relaxed); values from VASP
&SYSTEM
  ibrav = 0, nat = 15, ntyp = 3
/
ATOMIC_SPECIES
Ho 164.93 Ho.upf
Mg 24.30 Mg.upf
Te 127.60 Te.upf
CELL_PARAMETERS angstrom
0.000 6.117 6.117
6.117 0.000 6.117
6.117 6.117 0.000
ATOMIC_POSITIONS angstrom
Ho 3.059 3.059 0.000
Ho 3.059 0.000 3.059
Ho 6.117 3.059 3.059
Ho 0.000 3.059 3.059
Ho 3.059 6.117 3.059
Ho 3.059 3.059 6.117
Mg 0.000 0.000 0.000
Te 6.117 6.117 3.024
Te 6.117 3.024 6.117
Te 9.211 6.117 6.117
Te 3.059 3.059 3.059
Te 9.176 9.176 9.176
Te 3.024 6.117 6.117
Te 6.117 9.211 6.117
Te 6.117 6.117 9.211
! - Symmetry: Fm-3m (225)
! - Total energy: -4.871 eV/atom
! - D(E_F): 5.0 states/eV/cell
! - Calculated volume: 457.82 Å³/cell